Record 1
Compound: NaAl2Zn2
Source: Alexandria via LeMat-Bulk
Functional: PBE-GGA
Structure: optimized geometry

Unit cell a=8.017 b=8.017 c=2.845 alpha=90.00 beta=90.00 gamma=90.00
Space group P4/mbm (No. 127)
Inequivalent atoms, fractional coordinates:
Na  0.000  0.000  0.000 [2 per cell]
Al  0.125  0.375  0.000 [4 per cell]
Zn  0.169  0.669  0.500 [4 per cell]

Properties
excess energy over the best structure of this formula in the dataset: 0.025 eV per atom

Record 2
Compound: LiCd5Cu
Source: Alexandria via LeMat-Bulk
Functional: PBE-GGA
Structure: optimized geometry

Unit cell a=4.476 b=4.476 c=7.203 alpha=90.00 beta=90.00 gamma=90.00
Space group P4/mmm (No. 123)
Inequivalent atoms, fractional coordinates:
Li  0.000  0.000  0.000 [1 per cell]
Cd  0.000  0.500  0.287 [4 per cell]
Cd  0.500  0.500  0.000 [1 per cell]
Cu  0.000  0.000  0.500 [1 per cell]

| no. | E_form (meV per atom) |
| --- | --- |
| 1 | 30 |
| 2 | -81 |